4
Lattice="3.354 0.000 0.000 1.677 2.905 0.000 1.677 0.968 11.143" Properties=species:S:1:pos:R:3 comment="GGA-PBE Gd2ZnAg, relaxed" delta_e_f_ev_per_atom=0.265 pbc="T T T"
Zn 0.000 0.000 0.000
Gd 1.677 0.968 8.060
Gd 5.031 2.905 3.083
Ag 3.354 1.937 5.571



4
Lattice="-0.257 3.336 -0.444 -1.297 -0.509 -3.074 -6.570 -0.135 2.795" Properties=species:S:1:pos:R:3 comment="GGA-PBE GdZnAg2, relaxed" delta_e_f_ev_per_atom=-0.147 pbc="T T T"
Zn -0.777 1.413 -1.759
Gd -4.062 1.346 -0.362
Ag -5.219 -0.107 2.220
Ag -1.351 -0.028 0.575



4
Lattice="4.354 0.000 0.000 0.000 4.430 0.000 0.000 0.000 4.430" Properties=species:S:1:pos:R:3 comment="GGA-PBE GdZnAg2, relaxed" delta_e_f_ev_per_atom=-0.093 pbc="T T T"
Zn 2.177 0.000 0.000
Gd 2.177 2.215 2.215
Ag 0.000 0.000 2.215
Ag 0.000 2.215 0.000



6
Lattice="5.339 0.000 0.000 2.670 4.624 0.000 2.670 1.541 4.359" Properties=species:S:1:pos:R:3 comment="GGA-PBE GdZn4Ag, relaxed" delta_e_f_ev_per_atom=-0.179 pbc="T T T"
Zn 5.339 3.083 0.546
Zn 5.339 1.542 2.724
Zn 6.673 3.853 2.724
Zn 4.005 3.853 2.724
Gd 2.670 1.541 1.090
Ag 0.000 0.000 0.000



4
Lattice="5.153 0.000 0.000 2.577 4.463 0.000 2.577 1.488 4.208" Properties=species:S:1:pos:R:3 comment="GGA-PBE Gd2ZnAg, relaxed" delta_e_f_ev_per_atom=-0.309 pbc="T T T"
Zn 7.730 4.463 3.156
Gd 5.153 2.975 2.104
Gd 0.000 0.000 0.000
Ag 2.577 1.488 1.052



4
Lattice="3.661 0.000 0.000 0.000 3.661 0.000 0.000 0.000 7.179" Properties=species:S:1:pos:R:3 comment="GGA-PBE Gd2ZnAg, relaxed" delta_e_f_ev_per_atom=-0.328 pbc="T T T"
Zn 1.831 1.831 3.589
Gd 0.000 0.000 5.322
Gd 0.000 0.000 1.857
Ag 1.831 1.831 0.000



no.,size of the total moment (μB/f.u.),VASP energy (eV/atom)
1,15.05,-7.8067
2,7.36,-5.4113
3,7.41,-5.3574
4,7.28,-3.8500
5,14.67,-8.3804
6,14.63,-8.3999